Entry 1:
This record from Alexandria via LeMat-Bulk describes crystalline YTe2MoI at its relaxed geometry. The functional is PBE.

Cell lengths 5.4409, 5.4409, 5.3652 Å; angles 90.00, 90.00, 90.00 degrees
With the nearest neighbours (Å) after each atom.
Space group P4/mmm (No. 123)
Asymmetric unit:
Y: 0.0000 0.0000 0.0000 [1 per cell]  8 Te 3.82, 4 I 3.85
Te: 0.0000 0.5000 0.5000 [2 per cell]  2 Mo 2.72
Mo: 0.5000 0.5000 0.5000 [1 per cell]  2 I 2.68, 4 Te 2.72
I: 0.5000 0.5000 0.0000 [1 per cell]  2 Mo 2.68

Values from the calculation:
E_form (uncorrected) = 0.1459 eV/atom
Calculated total energy = -4.880 eV per atom
Energy above the most stable polymorph in this dataset = 0 meV per atom
DOS(E_F) = 3.4 states/eV per cell

Entry 2:
This record from Alexandria via LeMat-Bulk describes crystalline ZnTe2MoI at its relaxed geometry. The functional is PBE.

Cell lengths 5.3058, 5.3058, 5.4978 Å; angles 90.00, 90.00, 90.00 degrees
With the nearest neighbours (Å) after each atom.
Space group P4/mmm (No. 123)
Asymmetric unit:
Zn: 0.0000 0.0000 0.0000 [1 per cell]  4 Te 2.65, 2 I 2.75
Te: 0.0000 0.5000 0.0000 [2 per cell]  2 Zn 2.65
Mo: 0.5000 0.5000 0.5000 [1 per cell]  4 I 3.75, 8 Te 3.82
I: 0.0000 0.0000 0.5000 [1 per cell]  2 Zn 2.75

Values from the calculation:
E_form (uncorrected) = 0.9609 eV/atom
Calculated total energy = -3.027 eV per atom
Energy above the most stable polymorph in this dataset = 533 meV per atom
DOS(E_F) = 4.7 states/eV per cell

Entry 3:
This record from Alexandria via LeMat-Bulk describes crystalline ZnTe2MoI at its relaxed geometry. The functional is PBE.

Cell lengths 5.2631, 5.2631, 5.8356 Å; angles 90.00, 90.00, 90.00 degrees
With the nearest neighbours (Å) after each atom.
Space group P4/mmm (No. 123)
Asymmetric unit:
Zn: 0.0000 0.0000 0.0000 [1 per cell]  4 I 3.72, 8 Te 3.93
Te: 0.0000 0.5000 0.5000 [2 per cell]  2 Mo 2.63
Mo: 0.5000 0.5000 0.5000 [1 per cell]  4 Te 2.63, 2 I 2.92
I: 0.5000 0.5000 0.0000 [1 per cell]  2 Mo 2.92

Values from the calculation:
E_form (uncorrected) = 0.4279 eV/atom
Calculated total energy = -3.560 eV per atom
Energy above the most stable polymorph in this dataset = 0 meV per atom
DOS(E_F) = 3.5 states/eV per cell

Entry 4:
This record from Alexandria via LeMat-Bulk describes crystalline Th4MoI5 at its relaxed geometry. The functional is PBE.

Cell lengths 19.8247, 4.1326, 9.4957 Å; angles 90.00, 103.43, 90.00 degrees
With the nearest neighbours (Å) after each atom.
Space group C2/m (No. 12)
Asymmetric unit:
Th: 0.0011 0.0000 0.2980 [4 per cell]  2 Mo 2.82
Th: 0.1454 0.5000 0.5766 [4 per cell]  1 Mo 2.80
Mo: 0.0000 0.5000 0.5000 [2 per cell]  6 Th 2.80-2.82
I: 0.0000 0.5000 0.0000 [2 per cell]  4 Th 3.50
I: 0.1672 0.0000 0.8506 [4 per cell]  3 Th 3.27-3.31
I: 0.1746 0.0000 0.3239 [4 per cell]  4 Th 3.32-3.47

Values from the calculation:
E_form (uncorrected) = -0.6926 eV/atom
Calculated total energy = -5.519 eV per atom
DOS(E_F) = 14.5 states/eV per cell

Entry 5:
This record from Alexandria via LeMat-Bulk describes crystalline TiMoI2 at its relaxed geometry. The functional is PBE.

Cell lengths 4.7906, 4.7906, 17.0204 Å; angles 90.00, 90.00, 90.00 degrees
With the nearest neighbours (Å) after each atom.
Space group I-42d (No. 122)
Asymmetric unit:
Ti: 0.0000 0.0000 0.0000 [4 per cell]  4 I 2.73
Mo: 0.0000 0.0000 0.5000 [4 per cell]  4 I 2.71
I: 0.2471 0.2500 0.6250 [8 per cell]  2 Mo 2.71, 2 Ti 2.73

Values from the calculation:
E_form (uncorrected) = 0.7155 eV/atom
Calculated total energy = -4.741 eV per atom
Energy above the most stable polymorph in this dataset = 52 meV per atom
DOS(E_F) = 15.6 states/eV per cell

Entry 6:
This record from Alexandria via LeMat-Bulk describes crystalline TiMo3I at its relaxed geometry. The functional is PBE.

Cell lengths 4.7046, 4.7046, 4.7046 Å; angles 90.00, 90.00, 90.00 degrees
With the nearest neighbours (Å) after each atom.
Space group Pm-3m (No. 221)
Asymmetric unit:
Ti: 0.0000 0.0000 0.0000 [1 per cell]  6 Mo 2.35
Mo: 0.0000 0.0000 0.5000 [3 per cell]  2 Ti 2.35
I: 0.5000 0.5000 0.5000 [1 per cell]  12 Mo 3.33

Values from the calculation:
E_form (uncorrected) = 1.7221 eV/atom
Calculated total energy = -6.666 eV per atom
Energy above the most stable polymorph in this dataset = 0 meV per atom
DOS(E_F) = 10.4 states/eV per cell

Entry 7:
This record from Alexandria via LeMat-Bulk describes crystalline Ti2Mo2I at its relaxed geometry. The functional is PBE.

Cell lengths 3.7118, 3.7118, 14.2496 Å; angles 90.00, 90.00, 90.00 degrees
With the nearest neighbours (Å) after each atom.
Space group I4/mmm (No. 139)
Asymmetric unit:
Ti: 0.0000 0.5000 0.2500 [4 per cell]  4 Ti 2.62, 4 Mo 2.68
Mo: 0.0000 0.0000 0.1146 [4 per cell]  4 Ti 2.68
I: 0.0000 0.0000 0.5000 [2 per cell]  8 Mo 3.09

Values from the calculation:
E_form (uncorrected) = 0.8604 eV/atom
Calculated total energy = -6.940 eV per atom
Energy above the most stable polymorph in this dataset = 270 meV per atom
DOS(E_F) = 12.6 states/eV per cell

Entry 8:
This record from Alexandria via LeMat-Bulk describes crystalline TiMoI2 at its relaxed geometry. The functional is PBE.

Cell lengths 6.8471, 6.8471, 6.8471 Å; angles 90.00, 90.00, 90.00 degrees
With the nearest neighbours (Å) after each atom.
Space group Fm-3m (No. 225)
Asymmetric unit:
Ti: 0.0000 0.0000 0.0000 [4 per cell]  8 I 2.96
Mo: 0.0000 0.0000 0.5000 [4 per cell]  8 I 2.96
I: 0.2500 0.2500 0.2500 [8 per cell]  4 Mo 2.96, 4 Ti 2.96

Values from the calculation:
E_form (uncorrected) = 0.6633 eV/atom
Calculated total energy = -4.793 eV per atom
Energy above the most stable polymorph in this dataset = 0 meV per atom
DOS(E_F) = 28.6 states/eV per cell

Entry 9:
This record from Alexandria via LeMat-Bulk describes crystalline TiMoI at its relaxed geometry. The functional is PBE.

Cell lengths 12.2891, 3.3450, 5.9840 Å; angles 90.00, 90.00, 90.00 degrees
With the nearest neighbours (Å) after each atom.
Space group Amm2 (No. 38)
Asymmetric unit:
Ti: 0.0000 0.0000 0.0000 [2 per cell]  6 Mo 2.57-2.64
Ti: 0.5000 0.0000 0.1288 [2 per cell]  6 I 2.76-2.82
Mo: 0.1403 0.0000 0.3188 [4 per cell]  3 Ti 2.57-2.64
I: 0.3375 0.0000 0.8110 [4 per cell]  3 Ti 2.76-2.82, 2 Mo 2.94

Values from the calculation:
E_form (uncorrected) = 0.5412 eV/atom
Calculated total energy = -6.217 eV per atom
DOS(E_F) = 14.0 states/eV per cell

Entry 10:
This record from Alexandria via LeMat-Bulk describes crystalline TiMo2I at its relaxed geometry. The functional is PBE.

Cell lengths 6.4705, 6.4705, 6.4705 Å; angles 90.00, 90.00, 90.00 degrees
With the nearest neighbours (Å) after each atom.
Space group Fm-3m (No. 225)
Asymmetric unit:
Ti: 0.0000 0.0000 0.0000 [4 per cell]  8 Mo 2.80
Mo: 0.2500 0.2500 0.2500 [8 per cell]  4 I 2.80, 4 Ti 2.80
I: 0.0000 0.0000 0.5000 [4 per cell]  8 Mo 2.80

Values from the calculation:
E_form (uncorrected) = 0.6121 eV/atom
Calculated total energy = -7.165 eV per atom
Energy above the most stable polymorph in this dataset = 0 meV per atom
DOS(E_F) = 10.9 states/eV per cell

Entry 11:
This record from Alexandria via LeMat-Bulk describes crystalline Ti2MoI at its relaxed geometry. The functional is PBE.

Cell lengths 6.5857, 6.5857, 6.5857 Å; angles 90.00, 90.00, 90.00 degrees
With the nearest neighbours (Å) after each atom.
Space group Fm-3m (No. 225)
Asymmetric unit:
Ti: 0.2500 0.2500 0.2500 [8 per cell]  4 Mo 2.85, 4 I 2.85
Mo: 0.0000 0.0000 0.0000 [4 per cell]  8 Ti 2.85
I: 0.0000 0.0000 0.5000 [4 per cell]  8 Ti 2.85

Values from the calculation:
E_form (uncorrected) = 0.4954 eV/atom
Calculated total energy = -6.547 eV per atom
Energy above the most stable polymorph in this dataset = 0 meV per atom
DOS(E_F) = 15.2 states/eV per cell

Entry 12:
This record from Alexandria via LeMat-Bulk describes crystalline TiMoI3 at its relaxed geometry. The functional is PBE.

Cell lengths 5.6095, 5.6095, 5.6095 Å; angles 90.00, 90.00, 90.00 degrees
With the nearest neighbours (Å) after each atom.
Space group Pm-3m (No. 221)
Asymmetric unit:
Ti: 0.0000 0.0000 0.0000 [1 per cell]  6 I 2.80
Mo: 0.5000 0.5000 0.5000 [1 per cell]  12 I 3.97
I: 0.0000 0.0000 0.5000 [3 per cell]  2 Ti 2.80

Values from the calculation:
E_form (uncorrected) = 0.5870 eV/atom
Calculated total energy = -4.088 eV per atom
Energy above the most stable polymorph in this dataset = 0 meV per atom
DOS(E_F) = 8.1 states/eV per cell